BaSiPS2 | PBE | optimized geometry

CIF file:
```
data_BaSiPS2
_chemical_formula_sum 'Ba1 Si1 P1 S2'
_cell_length_a 4.883
_cell_length_b 4.883
_cell_length_c 4.582
_cell_angle_alpha 90.00
_cell_angle_beta 90.00
_cell_angle_gamma 90.00
_symmetry_space_group_name_H-M 'P 4/m m m'
_symmetry_Int_Tables_number 123
_symmetry_space_group_name_Hall '-P 4 2'
loop_
_atom_site_label
_atom_site_type_symbol
_atom_site_fract_x
_atom_site_fract_y
_atom_site_fract_z
Ba1 Ba 0.000 0.000 0.000
Si1 Si 0.500 0.500 0.500
P1 P 0.500 0.500 0.000
S1 S 0.000 0.500 0.500
```

The density of states at the Fermi level is 0.4438 states/eV/atom. Its energy relative to the lowest polymorph listed for this composition is 0.0000 eV per atom. As for the raw formation energy: -0.60 eV per atom. As for the magnetic moment: 0.0 μB per formula unit.


BaSiP2S8 | PBE | optimized geometry

CIF file:
```
data_BaSiP2S8
_chemical_formula_sum 'Ba1 Si1 P2 S8'
_cell_length_a 5.8860
_cell_length_b 5.8860
_cell_length_c 8.8942
_cell_angle_alpha 90.00
_cell_angle_beta 90.00
_cell_angle_gamma 120.00
_symmetry_space_group_name_H-M 'P -3'
_symmetry_Int_Tables_number 147
loop_
_symmetry_equiv_pos_as_xyz
'x,y,z'
'-x,-y,-z'
'-y,x-y,z'
'y,-x+y,-z'
'-x+y,-x,z'
'x-y,x,-z'
loop_
_atom_site_label
_atom_site_type_symbol
_atom_site_fract_x
_atom_site_fract_y
_atom_site_fract_z
Ba1 Ba 0.0000 0.0000 0.0000
Si1 Si 0.0000 0.0000 0.5000
P1 P 0.3333 0.6667 0.7219
S1 S 0.0010 0.6901 0.3358
S2 S 0.3333 0.6667 0.9471
```

The density of states at the Fermi level is 0.0000 states/eV/atom. As for the raw formation energy: -0.57 eV per atom. As for the magnetic moment: 0.0 μB per formula unit.


BaSnPS2 | PBE | optimized geometry

CIF file:
```
data_BaSnPS2
_chemical_formula_sum 'Ba1 Sn1 P1 S2'
_cell_length_a 5.649
_cell_length_b 5.649
_cell_length_c 5.536
_cell_angle_alpha 90.00
_cell_angle_beta 90.00
_cell_angle_gamma 90.00
_symmetry_space_group_name_H-M 'P 4/m m m'
_symmetry_Int_Tables_number 123
_symmetry_space_group_name_Hall '-P 4 2'
loop_
_atom_site_label
_atom_site_type_symbol
_atom_site_fract_x
_atom_site_fract_y
_atom_site_fract_z
Ba1 Ba 0.000 0.000 0.000
Sn1 Sn 0.500 0.500 0.500
P1 P 0.000 0.000 0.500
S1 S 0.000 0.500 0.000
```

The density of states at the Fermi level is 1.1868 states/eV/atom. Its energy relative to the lowest polymorph listed for this composition is 1.1514 eV per atom. As for the raw formation energy: 0.62 eV per atom. As for the magnetic moment: 0.0 μB per formula unit.


BaSnPS2 | PBE | optimized geometry

CIF file:
```
data_BaSnPS2
_chemical_formula_sum 'Ba1 Sn1 P1 S2'
_cell_length_a 5.180
_cell_length_b 5.180
_cell_length_c 5.025
_cell_angle_alpha 90.00
_cell_angle_beta 90.00
_cell_angle_gamma 90.00
_symmetry_space_group_name_H-M 'P 4/m m m'
_symmetry_Int_Tables_number 123
_symmetry_space_group_name_Hall '-P 4 2'
loop_
_atom_site_label
_atom_site_type_symbol
_atom_site_fract_x
_atom_site_fract_y
_atom_site_fract_z
Ba1 Ba 0.000 0.000 0.000
Sn1 Sn 0.500 0.500 0.500
P1 P 0.500 0.500 0.000
S1 S 0.000 0.500 0.500
```

The density of states at the Fermi level is 0.7627 states/eV/atom. Its energy relative to the lowest polymorph listed for this composition is 0.0000 eV per atom. As for the raw formation energy: -0.53 eV per atom. As for the magnetic moment: 0.0 μB per formula unit.


BaSrPS2 | PBE | optimized geometry

CIF file:
```
data_BaSrPS2
_chemical_formula_sum 'Ba1 Sr1 P1 S2'
_cell_length_a 5.521
_cell_length_b 5.521
_cell_length_c 5.410
_cell_angle_alpha 90.00
_cell_angle_beta 90.00
_cell_angle_gamma 90.00
_symmetry_space_group_name_H-M 'P 4/m m m'
_symmetry_Int_Tables_number 123
_symmetry_space_group_name_Hall '-P 4 2'
loop_
_atom_site_label
_atom_site_type_symbol
_atom_site_fract_x
_atom_site_fract_y
_atom_site_fract_z
Ba1 Ba 0.000 0.000 0.000
Sr1 Sr 0.500 0.500 0.500
P1 P 0.500 0.500 0.000
S1 S 0.000 0.500 0.500
```

The density of states at the Fermi level is 1.3816 states/eV/atom. Its energy relative to the lowest polymorph listed for this composition is 0.0000 eV per atom. As for the raw formation energy: -0.56 eV per atom. As for the magnetic moment: 0.0 μB per formula unit.


BaSrPS2 | PBE | optimized geometry

CIF file:
```
data_BaSrPS2
_chemical_formula_sum 'Ba1 Sr1 P1 S2'
_cell_length_a 5.689
_cell_length_b 5.689
_cell_length_c 5.508
_cell_angle_alpha 90.00
_cell_angle_beta 90.00
_cell_angle_gamma 90.00
_symmetry_space_group_name_H-M 'P 4/m m m'
_symmetry_Int_Tables_number 123
_symmetry_space_group_name_Hall '-P 4 2'
loop_
_atom_site_label
_atom_site_type_symbol
_atom_site_fract_x
_atom_site_fract_y
_atom_site_fract_z
Ba1 Ba 0.000 0.000 0.000
Sr1 Sr 0.500 0.500 0.500
P1 P 0.000 0.000 0.500
S1 S 0.000 0.500 0.000
```

The density of states at the Fermi level is 1.3410 states/eV/atom. Its energy relative to the lowest polymorph listed for this composition is 0.3268 eV per atom. As for the raw formation energy: -0.23 eV per atom. As for the magnetic moment: 0.0 μB per formula unit.


BaSrP2S | PBE | optimized geometry

CIF file:
```
data_BaSrP2S
_chemical_formula_sum 'Ba1 Sr1 P2 S1'
_cell_length_a 5.517
_cell_length_b 5.517
_cell_length_c 5.717
_cell_angle_alpha 90.00
_cell_angle_beta 90.00
_cell_angle_gamma 90.00
_symmetry_space_group_name_H-M 'P 4/m m m'
_symmetry_Int_Tables_number 123
_symmetry_space_group_name_Hall '-P 4 2'
loop_
_atom_site_label
_atom_site_type_symbol
_atom_site_fract_x
_atom_site_fract_y
_atom_site_fract_z
Ba1 Ba 0.000 0.000 0.000
Sr1 Sr 0.500 0.500 0.500
P1 P 0.000 0.500 0.000
S1 S 0.000 0.000 0.500
```

The density of states at the Fermi level is 1.0591 states/eV/atom. Its energy relative to the lowest polymorph listed for this composition is 0.3060 eV per atom. As for the raw formation energy: 0.16 eV per atom. As for the magnetic moment: 0.1 μB per formula unit.


BaSrP2S | PBE | optimized geometry

CIF file:
```
data_BaSrP2S
_chemical_formula_sum 'Ba1 Sr1 P2 S1'
_cell_length_a 5.456
_cell_length_b 5.456
_cell_length_c 5.524
_cell_angle_alpha 90.00
_cell_angle_beta 90.00
_cell_angle_gamma 90.00
_symmetry_space_group_name_H-M 'P 4/m m m'
_symmetry_Int_Tables_number 123
_symmetry_space_group_name_Hall '-P 4 2'
loop_
_atom_site_label
_atom_site_type_symbol
_atom_site_fract_x
_atom_site_fract_y
_atom_site_fract_z
Ba1 Ba 0.000 0.000 0.000
Sr1 Sr 0.500 0.500 0.500
P1 P 0.000 0.500 0.500
S1 S 0.500 0.500 0.000
```

The density of states at the Fermi level is 1.2157 states/eV/atom. Its energy relative to the lowest polymorph listed for this composition is 0.0000 eV per atom. As for the raw formation energy: -0.15 eV per atom. As for the magnetic moment: 0.0 μB per formula unit.


BaTaPS2 | PBE | optimized geometry

CIF file:
```
data_BaTaPS2
_chemical_formula_sum 'Ba1 Ta1 P1 S2'
_cell_length_a 4.897
_cell_length_b 4.897
_cell_length_c 4.926
_cell_angle_alpha 90.00
_cell_angle_beta 90.00
_cell_angle_gamma 90.00
_symmetry_space_group_name_H-M 'P 4/m m m'
_symmetry_Int_Tables_number 123
_symmetry_space_group_name_Hall '-P 4 2'
loop_
_atom_site_label
_atom_site_type_symbol
_atom_site_fract_x
_atom_site_fract_y
_atom_site_fract_z
Ba1 Ba 0.000 0.000 0.000
Ta1 Ta 0.500 0.500 0.500
P1 P 0.500 0.500 0.000
S1 S 0.000 0.500 0.500
```

The density of states at the Fermi level is 0.4315 states/eV/atom. Its energy relative to the lowest polymorph listed for this composition is 0.0000 eV per atom. As for the raw formation energy: -1.11 eV per atom. As for the magnetic moment: 0.0 μB per formula unit.


BaTaP2S8 | PBE | optimized geometry

CIF file:
```
data_BaTaP2S8
_chemical_formula_sum 'Ba1 Ta1 P2 S8'
_cell_length_a 6.0195
_cell_length_b 6.0195
_cell_length_c 8.7515
_cell_angle_alpha 90.00
_cell_angle_beta 90.00
_cell_angle_gamma 120.00
_symmetry_space_group_name_H-M 'P -3'
_symmetry_Int_Tables_number 147
loop_
_symmetry_equiv_pos_as_xyz
'x,y,z'
'-x,-y,-z'
'-y,x-y,z'
'y,-x+y,-z'
'-x+y,-x,z'
'x-y,x,-z'
loop_
_atom_site_label
_atom_site_type_symbol
_atom_site_fract_x
_atom_site_fract_y
_atom_site_fract_z
Ba1 Ba 0.0000 0.0000 0.0000
Ta1 Ta 0.0000 0.0000 0.5000
P1 P 0.3333 0.6667 0.7355
S1 S 0.0029 0.6711 0.3329
S2 S 0.3333 0.6667 0.9642
```

The density of states at the Fermi level is 0.3974 states/eV/atom. As for the raw formation energy: -0.68 eV per atom. As for the magnetic moment: 0.6 μB per formula unit.